1.
SrSO3 after structural relaxation, computed with PBE.

a = 4.771 Å, b = 6.250 Å, c = 6.512 Å
α = 95.52°, β = 108.21°, γ = 106.89°
Space group P1 (No. 1)
Symmetry-distinct sites (fractional):
Sr 0.000 0.000 0.000 (multiplicity 1)
Sr 0.098 0.655 0.430 (multiplicity 1)
S 0.291 0.549 0.979 (multiplicity 1)
S 0.759 0.153 0.486 (multiplicity 1)
O 0.006 0.597 0.011 (multiplicity 1)
O 0.409 0.021 0.363 (multiplicity 1)
O 0.416 0.744 0.862 (multiplicity 1)
O 0.530 0.598 0.214 (multiplicity 1)
O 0.895 0.210 0.303 (multiplicity 1)
O 0.896 0.978 0.596 (multiplicity 1)

2.
SrS3O after structural relaxation, computed with PBE.

a = 5.749 Å, b = 5.749 Å, c = 5.749 Å
α = 90.00°, β = 90.00°, γ = 90.00°
Space group Pm-3m (No. 221)
Symmetry-distinct sites (fractional):
Sr 0.000 0.000 0.000 (multiplicity 1)
S 0.000 0.000 0.500 (multiplicity 3)
O 0.500 0.500 0.500 (multiplicity 1)

3.
SrS3O9 after structural relaxation, computed with PBE.

a = 7.473 Å, b = 7.538 Å, c = 8.302 Å
α = 90.00°, β = 112.07°, γ = 90.00°
Space group P2_1 (No. 4)
Symmetry-distinct sites (fractional):
Sr 0.006 0.000 0.335 (multiplicity 2)
S 0.118 0.994 0.758 (multiplicity 2)
S 0.221 0.391 0.162 (multiplicity 2)
S 0.482 0.858 0.258 (multiplicity 2)
O 0.095 0.836 0.645 (multiplicity 2)
O 0.096 0.534 0.239 (multiplicity 2)
O 0.135 0.413 0.974 (multiplicity 2)
O 0.138 0.153 0.662 (multiplicity 2)
O 0.184 0.218 0.220 (multiplicity 2)
O 0.254 0.974 0.933 (multiplicity 2)
O 0.338 0.874 0.335 (multiplicity 2)
O 0.360 0.485 0.680 (multiplicity 2)
O 0.413 0.460 0.245 (multiplicity 2)

4.
SrS3O after structural relaxation, computed with PBE.

a = 4.449 Å, b = 4.449 Å, c = 4.449 Å
α = 90.00°, β = 90.00°, γ = 90.00°
Space group Pm-3m (No. 221)
Symmetry-distinct sites (fractional):
Sr 0.000 0.000 0.000 (multiplicity 1)
S 0.000 0.500 0.500 (multiplicity 3)
O 0.500 0.500 0.500 (multiplicity 1)

5.
SrTaSO2 after structural relaxation, computed with PBE.

a = 4.205 Å, b = 4.205 Å, c = 5.282 Å
α = 90.00°, β = 90.00°, γ = 90.00°
Space group P4/mmm (No. 123)
Symmetry-distinct sites (fractional):
Sr 0.000 0.000 0.000 (multiplicity 1)
Ta 0.500 0.500 0.000 (multiplicity 1)
S 0.000 0.000 0.500 (multiplicity 1)
O 0.000 0.500 0.500 (multiplicity 2)

6.
SrTaSO2 after structural relaxation, computed with PBE.

a = 4.116 Å, b = 4.116 Å, c = 8.609 Å
α = 90.00°, β = 90.00°, γ = 90.00°
Space group P4/mmm (No. 123)
Symmetry-distinct sites (fractional):
Sr 0.000 0.000 0.000 (multiplicity 1)
Ta 0.000 0.000 0.500 (multiplicity 1)
S 0.500 0.500 0.500 (multiplicity 1)
O 0.000 0.500 0.000 (multiplicity 2)

7.
SrTaSO2 after structural relaxation, computed with PBE.

a = 4.082 Å, b = 4.082 Å, c = 5.042 Å
α = 90.00°, β = 90.00°, γ = 90.00°
Space group P4mm (No. 99)
Symmetry-distinct sites (fractional):
Sr 0.000 0.000 0.000 (multiplicity 1)
Ta 0.500 0.500 0.358 (multiplicity 1)
S 0.500 0.500 0.845 (multiplicity 1)
O 0.000 0.500 0.339 (multiplicity 2)

8.
SrTbS2O8 after structural relaxation, computed with PBE.

a = 5.1841 Å, b = 5.1841 Å, c = 7.8954 Å
α = 90.00°, β = 90.00°, γ = 120.00°
Space group P-3 (No. 147)
Symmetry-distinct sites (fractional):
Sr 0.0000 0.0000 0.0000 (multiplicity 1)
Tb 0.0000 0.0000 0.5000 (multiplicity 1)
S 0.3333 0.6667 0.7850 (multiplicity 2)
O 0.1752 0.3526 0.7237 (multiplicity 6)
O 0.3333 0.6667 0.9724 (multiplicity 2)

no.,Fermi-level density of states (states/eV/cell),size of the total moment (μB per atom),uncorrected formation energy (meV/atom)
1,0.0,0.000,-2067
2,5.2,1.200,849
3,0.0,0.003,-1605
4,1.6,0.000,-277
5,4.4,0.001,1134
6,4.4,0.804,490
7,1.5,0.000,-2338
8,1.6,0.036,-2023